(1)
MnNb3Sn | Alexandria | GGA-PBE | relaxed; SG = Pm-3m (221); size of the total moment = 0.000 μB per cell; E above lowest polymorph = 0.000 eV/atom; calculated formation energy = 0.4614 eV per atom; final energy = -8.215 eV per atom; DOS(E_F) = 1.00 states/eV per atom
1.0
-2.173 3.804 1.504
-3.269 -2.638 1.951
2.459 -0.146 3.923
Nb Mn Sn
3 1 1
Cartesian
-1.635 -1.319 0.976
1.230 -0.073 1.961
-1.087 1.902 0.752
0.000 0.000 0.000
-1.492 0.510 3.689


(2)
Rb3Bi2S4 | Alexandria | GGA-PBE | relaxed; SG = C2/m (12); size of the total moment = 0.000 μB per cell; formation energy (no corrections) = -773 meV per atom; final energy = -3.792 eV per atom; DOS(E_F) = 0.15 states/eV per atom
1.0
-3.276 -3.434 0.093
7.052 -3.491 -1.584
-6.908 6.893 11.204
Rb Bi S
3 2 4
Cartesian
-6.539 3.185 8.415
0.000 0.000 0.000
3.407 -3.216 1.298
-0.706 -2.520 3.227
-2.426 2.490 6.486
0.038 -3.292 0.945
-3.170 3.261 8.768
-3.099 -0.151 6.430
-0.033 0.120 3.283


(3)
Ba2SmCd3Hg12 | Alexandria | GGA-PBE | relaxed; SG = R-3m (166); size of the total moment = 0.000 μB per cell; calculated formation energy = -0.1680 eV per atom; final energy = -0.998 eV per atom; DOS(E_F) = 0.52 states/eV per atom
1.0
-7.541 -9.714 4.574
-7.000 -10.810 -2.509
-1.684 -12.878 1.864
Ba Sm Cd Hg
2 1 3 12
Cartesian
-10.324 -21.255 2.500
-5.900 -12.147 1.429
0.000 0.000 0.000
-3.770 -4.857 2.287
-3.500 -5.405 -1.255
-0.842 -6.439 0.932
-7.343 -19.197 2.409
-13.487 -23.349 2.582
-10.739 -24.834 1.311
-9.882 -17.825 3.584
-10.992 -24.320 4.634
-9.647 -18.300 0.514
-8.881 -14.205 1.519
-2.738 -10.052 1.346
-5.486 -8.568 2.617
-6.343 -15.576 0.345
-5.232 -9.082 -0.705
-6.577 -15.101 3.415


(4)
BaLiRe2 | Alexandria | GGA-PBE | relaxed; SG = I4/mmm (139); size of the total moment = 0.001 μB per cell; E above lowest polymorph = 0.584 eV/atom; calculated formation energy = 1.0945 eV per atom; final energy = -6.089 eV per atom; DOS(E_F) = 0.57 states/eV per atom
1.0
-2.703 4.586 -2.881
-5.730 1.838 0.659
4.984 -1.523 3.078
Ba Li Re
1 1 2
Cartesian
-2.481 1.763 1.313
-0.968 3.137 -0.457
0.000 0.000 0.000
-4.216 3.212 -1.111


(5)
ScPa3S6 | Alexandria | GGA-PBE | relaxed; SG = Cmmm (65); size of the total moment = 4.162 μB per cell; formation energy (no corrections) = -1272 meV per atom; final energy = -7.231 eV per atom; DOS(E_F) = 1.53 states/eV per atom
1.0
-3.274 2.479 0.428
-0.005 -1.384 7.987
4.704 6.453 -1.388
Sc Pa S
1 3 6
Cartesian
2.350 2.535 3.299
-1.639 0.547 4.207
0.000 0.000 0.000
0.715 4.466 -0.480
1.603 2.066 0.299
3.096 3.003 6.299
0.453 0.152 2.588
4.246 4.917 4.010
0.074 2.711 4.784
1.351 4.837 2.242


(6)
LiTb2PuN4 | Alexandria | GGA-PBE | relaxed; SG = P2/m (10); size of the total moment = 3.000 μB per cell; formation energy (no corrections) = -1181 meV per atom; final energy = -8.532 eV per atom; DOS(E_F) = 0.63 states/eV per atom
1.0
3.523 0.000 0.000
0.000 5.773 0.258
0.000 -1.867 5.470
Li Tb Pu N
1 2 1 4
Cartesian
1.761 2.887 0.129
1.761 -0.933 2.735
0.000 1.953 2.864
0.000 0.000 0.000
1.761 0.993 1.429
1.761 2.914 4.299
0.000 -0.234 4.210
0.000 4.140 1.518


Q: final energy of number 6 (LiTb2PuN4)?
A: -8.532 eV per atom


What did the fourth record say?
BaLiRe2 | Alexandria | GGA-PBE | relaxed; SG = I4/mmm (139); size of the total moment = 0.001 μB per cell; E above lowest polymorph = 0.584 eV/atom; calculated formation energy = 1.0945 eV per atom; final energy = -6.089 eV per atom; DOS(E_F) = 0.57 states/eV per atom
1.0
-2.703 4.586 -2.881
-5.730 1.838 0.659
4.984 -1.523 3.078
Ba Li Re
1 1 2
Cartesian
-2.481 1.763 1.313
-0.968 3.137 -0.457
0.000 0.000 0.000
-4.216 3.212 -1.111


Q: What is the DOS(E_F) in the fourth record?
A: 0.57 states/eV per atom